[1]
Below is a geometry-optimized La12Pm7Zr structure, with properties calculated at the GGA-PBE level.

```
20
Lattice="6.297 0.000 -1.296 -3.239 9.794 -5.107 0.181 0.000 11.509" Properties=species:S:1:pos:R:3 pbc="T T T"
La -1.296 5.814 -0.999
La 0.087 1.833 5.755
La 1.433 6.314 -4.016
La 2.840 0.000 3.519
La 1.936 3.981 4.109
La -1.433 6.313 4.017
La 4.672 3.481 1.090
La 1.303 5.813 0.998
La 0.399 9.794 1.588
La 1.805 3.480 9.123
La 3.152 7.961 -0.648
La 4.535 3.980 6.106
Pm -1.577 7.361 7.532
Pm 2.426 9.794 -3.404
Pm 1.758 7.361 3.977
Pm 3.148 0.000 -0.648
Pm 1.481 2.433 1.130
Pm 0.812 0.000 8.510
Pm 4.816 2.433 -2.425
Zr 0.000 0.000 0.000
```

Computed properties:
DOS(E_F) = 24.60 states/eV per cell
space-group type = R-3m
VASP energy = -4.884 eV per atom
E_form = 0.163 eV/atom
theoretical density = 6.47 g cm⁻³

***

[2]
Below is a geometry-optimized CaRu2C structure, with properties calculated at the GGA-PBE level.

```
8
Lattice="6.080 0.000 0.000 0.000 6.080 0.000 3.040 3.040 4.061" Properties=species:S:1:pos:R:3 pbc="T T T"
Ru 3.544 1.520 1.015
Ru 2.536 4.560 1.015
Ru 4.560 5.576 3.046
Ru 7.600 6.584 3.046
Ca 0.000 0.000 0.000
Ca 6.080 3.040 2.031
C 3.040 3.040 0.000
C 3.040 6.080 2.031
```

Computed properties:
DOS(E_F) = 6.12 states/eV per cell
space-group type = I-42d
VASP energy = -7.004 eV per atom
E_form = 0.440 eV/atom
theoretical density = 5.62 g cm⁻³

***

[3]
Below is a geometry-optimized SrTi2CuRu structure, with properties calculated at the GGA-PBE level.

```
5
Lattice="-1.603 2.941 3.190 -4.913 -0.782 -1.748 -0.502 -3.504 2.978" Properties=species:S:1:pos:R:3 pbc="T T T"
Ru -3.509 -0.672 2.210
Ti -0.251 -1.752 1.489
Ti -0.802 1.470 1.595
Cu 0.000 0.000 0.000
Sr -2.457 -0.391 -0.874
```

Computed properties:
DOS(E_F) = 9.56 states/eV per cell
space-group type = P4/mmm
VASP energy = -5.086 eV per atom
E_form = 1.082 eV/atom
theoretical density = 5.12 g cm⁻³

***

[4]
Below is a geometry-optimized Sr2CaAc6 structure, with properties calculated at the GGA-PBE level.

```
9
Lattice="-7.741 -1.726 -7.949 10.838 2.165 -1.982 0.608 -3.974 0.697" Properties=species:S:1:pos:R:3 pbc="T T T"
Sr -4.420 -3.081 -6.632
Sr 8.126 -0.454 -2.603
Ca 0.000 0.000 0.000
Ac -0.555 -3.624 -6.973
Ac 4.260 0.089 -2.262
Ac 1.449 -2.546 -2.852
Ac 5.640 -2.327 -4.983
Ac -1.934 -1.208 -4.252
Ac 2.257 -0.988 -6.383
```

Computed properties:
DOS(E_F) = 15.05 states/eV per cell
space-group type = C2/m
VASP energy = -3.232 eV per atom
E_form = 0.103 eV/atom
theoretical density = 6.28 g cm⁻³

***

Look up the DOS(E_F) of the first one.
24.60 states/eV per cell